1.
Below is LaCeBiTe after structural relaxation, with properties calculated at the PBE-GGA level.

abc: 4.599 4.599 22.596
angles: 90.00 90.00 120.00
Element x y z (fractional)
La: 0.000 0.000 0.000
La: 0.333 0.667 0.667
La: 0.667 0.333 0.333
Ce: 0.000 0.000 0.499
Ce: 0.333 0.667 0.166
Ce: 0.667 0.333 0.832
Bi: 0.000 0.000 0.248
Bi: 0.333 0.667 0.915
Bi: 0.667 0.333 0.581
Te: 0.000 0.000 0.751
Te: 0.333 0.667 0.418
Te: 0.667 0.333 0.085

Output
Space group = R3m (160)
ΔE_f (raw) = -1.21 eV per atom
Fermi-level density of states = 25.30 states/eV per cell
Offset from the most stable computed form = 0.000 eV per atom

---

2.
Below is Ti2Te3H after structural relaxation, with properties calculated at the PBE-GGA level.

abc: 9.003 9.003 10.097
angles: 109.53 109.53 23.01
Element x y z (fractional)
Ti: 0.073 0.073 0.240
Ti: 0.421 0.421 0.033
Ti: 0.579 0.579 0.967
Ti: 0.927 0.927 0.760
Te: 0.079 0.079 0.758
Te: 0.193 0.193 0.129
Te: 0.364 0.364 0.558
Te: 0.636 0.636 0.442
Te: 0.807 0.807 0.871
Te: 0.921 0.921 0.242
H: 0.463 0.463 0.879
H: 0.537 0.537 0.121

Output
Space group = C2/m (12)
Total energy = -63.69 eV for the cell shown
Fermi-level density of states = 3.56 states/eV per cell

---

Number 1 is which compound? LaCeBiTe